Pr6Sm2Y3Mg: optimized geometry, PBE.

Lattice parameters (Å, degrees): 6.304 6.304 11.941 95.05 95.05 120.03
Fractional positions:
Pr1 0.917 0.586 0.750
Pr2 0.751 0.751 0.250
Pr3 0.083 0.414 0.250
Pr4 0.586 0.917 0.750
Pr5 0.249 0.249 0.750
Pr6 0.414 0.083 0.250
Sm1 0.333 0.667 0.000
Sm2 0.667 0.333 0.000
Y1 0.166 0.834 0.500
Y2 0.834 0.166 0.500
Y3 0.500 0.500 0.500
Mg1 0.000 0.000 0.000

Output
Calculated formation energy: 0.012 eV per atom